# NdSmAgTe3

NdSmAgTe3 after structural relaxation (PBE-GGA, the Open Quantum Materials Database).

The value obtained for the total energy is -4.697 eV per atom. The mass density is 7.29 g cm⁻³.

The space group is Cmcm (No. 63) and the conventional cell measures 4.267, 14.737 and 11.380 Å, with angles of 90.00, 90.00 and 90.00 degrees. The asymmetric unit holds Nd at (0.000, 0.000, 0.000), Sm at (0.000, 0.225, 0.250), Ag at (0.000, 0.475, 0.750), Te at (0.000, 0.107, 0.750) and Te at (0.000, 0.348, 0.565).